# 1
Al2SiAs | GGA-PBE | relaxed

Cell and atoms, written as POSCAR:
```
Al2SiAs
1.0
-3.990 1.411 -3.223
-4.952 -0.729 -1.802
-3.947 3.259 2.235
Si Al As
1 2 1
direct
0.312 0.312 0.141
0.696 0.696 0.620
0.056 0.056 0.115
0.436 0.436 0.624
```

## Properties
Space-group type: Cm (8)
Energy relative to the elements, uncorrected (eV per atom): 0.150

=====

# 2
Nb5VRu4 | GGA-PBE | relaxed

Cell and atoms, written as POSCAR:
```
Nb5VRu4
1.0
4.254 0.000 -1.459
-0.488 5.280 -1.424
0.059 -0.001 7.105
Nb V Ru
5 1 4
direct
0.902 0.607 0.804
0.697 0.800 0.395
0.098 0.393 0.196
0.303 0.200 0.605
0.500 0.500 0.000
0.500 0.000 0.000
0.900 0.092 0.801
0.100 0.908 0.199
0.700 0.297 0.401
0.300 0.703 0.599
```

## Properties
Energy relative to the elements (eV/atom): -0.21
Space-group type: C2/m (12)

=====

# 3
Li2Mg | GGA-PBE | relaxed

Cell and atoms, written as POSCAR:
```
Li2Mg
1.0
5.466 -0.214 0.281
4.590 2.977 0.281
-7.861 -2.160 6.628
Mg Li
2 4
direct
0.655 0.655 0.293
0.789 0.789 0.096
0.320 0.320 0.628
0.959 0.959 0.944
0.125 0.125 0.761
0.485 0.485 0.445
```

## Properties
Energy relative to the elements (eV/atom): -0.03
Space-group type: C2/m (12)

=====

# 4
CrIn2P | GGA-PBE | relaxed

Cell and atoms, written as POSCAR:
```
CrIn2P
1.0
3.994 0.000 0.000
0.000 5.415 0.068
0.000 5.285 4.612
In Cr P
2 1 1
direct
0.000 0.165 0.017
0.000 0.335 0.483
0.500 0.750 0.750
0.500 0.250 0.250
```

## Properties
Energy relative to the elements (eV/atom): 0.27
Space-group type: P2/m (10)

=====

| no. | total DFT energy (no corrections) (eV/atom) |
| --- | --- |
| 1 | -4.239 |
| 2 | -9.867 |
| 3 | -1.842 |
| 4 | -4.856 |